Computed, not measured: a relaxed structure of SrTlAu2 at the PBE level of DFT.

Results
Electronic total energy ... -36.17 eV per cell
DFT formation energy ... -0.36 eV per atom

The structure in CIF format:
```
data_SrTlAu2
_space_group_name_H-M_alt 'R 3 m'
_space_group_IT_number 160
_space_group_name_Hall 'R 3 -2"'
_cell_length_a 4.4781
_cell_length_b 4.4781
_cell_length_c 20.8407
_cell_angle_alpha 90.00
_cell_angle_beta 90.00
_cell_angle_gamma 120.00
loop_
_atom_site_label
_atom_site_type_symbol
_atom_site_fract_x
_atom_site_fract_y
_atom_site_fract_z
Sr1 Sr 0.0000 0.0000 0.0000
Tl1 Tl 0.0000 0.0000 0.1719
Au1 Au 0.0000 0.0000 0.4271
Au2 Au 0.0000 0.0000 0.5762
```